Material: Hg2BrN2
Method: DFT, PBE
State: optimized geometry

* calculated total energy: -3.87 eV/atom

abc: 4.4183 6.5464 8.0112
angles: 73.74 79.89 81.87
Space group P-1 (No. 2)
Unique sites:
1 Hg 0.1870 0.1571 0.0017 x2
2 Br 0.5000 0.5000 0.0000 x1
3 N 0.0441 0.4195 0.5378 x2

***

Material: HgBrN3
Method: DFT, PBE
State: optimized geometry

* calculated total energy: -2.69 eV/atom

abc: 4.0419 4.0419 4.0419
angles: 90.00 90.00 90.00
Space group Pm-3m (No. 221)
Unique sites:
1 Hg 0.0000 0.0000 0.0000 x1
2 Br 0.5000 0.5000 0.5000 x1
3 N 0.0000 0.5000 0.5000 x3

***

Material: HgBr2N
Method: DFT, PBE
State: optimized geometry

* E above lowest polymorph: 452 meV per atom
* calculated total energy: -1.78 eV/atom

abc: 7.1869 7.1869 7.1869
angles: 90.00 90.00 90.00
Space group Fm-3m (No. 225)
Unique sites:
1 Hg 0.0000 0.0000 0.0000 x4
2 Br 0.2500 0.2500 0.2500 x8
3 N 0.0000 0.0000 0.5000 x4

***

Material: HgBrN2
Method: DFT, PBE
State: optimized geometry

* E above lowest polymorph: 1711 meV per atom
* calculated total energy: -3.09 eV/atom

abc: 3.5544 3.5544 18.4259
angles: 90.00 90.00 120.00
Space group R-3m (No. 166, hexagonal axes)
Unique sites:
1 Hg 0.0000 0.0000 0.0000 x3
2 Br 0.0000 0.0000 0.5000 x3
3 N 0.0000 0.0000 0.3904 x6

***

no.,formation energy from raw total energies (eV per atom)
1,-0.087
2,2.704
3,1.217
4,1.563